1.
A crystal of LuF3 relaxed with PBEsol, computed with SCAN.

Summary:
Symmetry: Fm-3m
E in eV per atom: -20.569

a b c (Å): 3.7971 3.7971 3.7971
angles (deg): 60.00 60.00 60.00
Last column: nearest neighbours and their distance in Å.
Sites, in units of the cell vectors:
Lu (0.0000, 0.0000, 0.0000)  8 F 2.33
F (0.7500, 0.7500, 0.7500)  4 F 2.33, 4 Lu 2.33
F (0.2500, 0.2500, 0.2500)  4 F 2.33, 4 Lu 2.33
F (0.5000, 0.5000, 0.5000)  8 F 2.33



2.
A crystal of LuOF relaxed with PBEsol, computed with SCAN.

Summary:
Symmetry: P2_1/c
E in eV per atom: -26.011

a b c (Å): 5.3149 5.4010 5.4117
angles (deg): 100.09 90.00 90.00
Last column: nearest neighbours and their distance in Å.
Sites, in units of the cell vectors:
Lu (0.5266, 0.1943, 0.2876)  4 O 2.15-2.20, 3 F 2.21-2.32
Lu (0.0266, 0.8057, 0.2124)  4 O 2.15-2.20, 3 F 2.21-2.32
Lu (0.4734, 0.8057, 0.7124)  4 O 2.15-2.20, 3 F 2.21-2.32
Lu (0.9734, 0.1943, 0.7876)  4 O 2.15-2.20, 3 F 2.21-2.32
O (0.7527, 0.9609, 0.4899)  4 Lu 2.15-2.20
O (0.7473, 0.9609, 0.9899)  4 Lu 2.15-2.20
O (0.2473, 0.0391, 0.5101)  4 Lu 2.15-2.20
O (0.2527, 0.0391, 0.0101)  4 Lu 2.15-2.20
F (0.1825, 0.5541, 0.8521)  3 Lu 2.21-2.32
F (0.3175, 0.5541, 0.3521)  3 Lu 2.21-2.32
F (0.8175, 0.4459, 0.1479)  3 Lu 2.21-2.32
F (0.6825, 0.4459, 0.6479)  3 Lu 2.21-2.32



3.
A crystal of LuSeO3F relaxed with PBEsol, computed with SCAN.

Summary:
Energy relative to the lowest polymorph listed for this composition in meV per atom: 4
Symmetry: P2_1/c

a b c (Å): 6.4491 6.7279 6.9545
angles (deg): 90.00 98.57 90.00
Last column: nearest neighbours and their distance in Å.
Sites, in units of the cell vectors:
Lu (0.1345, 0.6432, 0.3252)  2 F 2.13-2.14, 5 O 2.22-2.34
Lu (0.1345, 0.8568, 0.8252)  2 F 2.13-2.14, 5 O 2.22-2.34
Lu (0.8655, 0.1432, 0.1748)  2 F 2.13-2.14, 5 O 2.22-2.34
Lu (0.8655, 0.3568, 0.6748)  2 F 2.13-2.14, 5 O 2.22-2.34
Se (0.6429, 0.6182, 0.2065)  3 O 1.71-1.77
Se (0.3571, 0.3818, 0.7935)  3 O 1.71-1.77
Se (0.3571, 0.1182, 0.2935)  3 O 1.71-1.77
Se (0.6429, 0.8818, 0.7065)  3 O 1.71-1.77
O (0.5213, 0.1899, 0.1355)  1 Se 1.71
O (0.8278, 0.0338, 0.8532)  1 Se 1.77
O (0.1722, 0.5338, 0.6468)  1 Se 1.77
O (0.5213, 0.3101, 0.6355)  1 Se 1.71
O (0.1749, 0.1908, 0.7828)  1 Se 1.74
O (0.1722, 0.9662, 0.1468)  1 Se 1.77
O (0.1749, 0.3092, 0.2828)  1 Se 1.74
O (0.8251, 0.8092, 0.2172)  1 Se 1.74
O (0.4787, 0.8101, 0.8645)  1 Se 1.71
O (0.8251, 0.6908, 0.7172)  1 Se 1.74
O (0.8278, 0.4662, 0.3532)  1 Se 1.77
O (0.4787, 0.6899, 0.3645)  1 Se 1.71
F (0.1665, 0.6142, 0.0260)  2 Lu 2.13-2.14
F (0.8335, 0.1142, 0.4740)  2 Lu 2.13-2.14
F (0.1665, 0.8858, 0.5260)  2 Lu 2.13-2.14
F (0.8335, 0.3858, 0.9740)  2 Lu 2.13-2.14



4.
A crystal of LuSeO3F relaxed with PBEsol, computed with SCAN.

Summary:
Energy relative to the lowest polymorph listed for this composition in meV per atom: 0
Symmetry: P2_1/m

a b c (Å): 4.2382 6.4338 6.8356
angles (deg): 90.00 90.00 96.28
Last column: nearest neighbours and their distance in Å.
Sites, in units of the cell vectors:
Lu (0.4610, 0.3738, 0.7500)  2 F 2.11-2.13, 5 O 2.21-2.31
Lu (0.5390, 0.6262, 0.2500)  2 F 2.11-2.13, 5 O 2.21-2.31
Se (0.3194, 0.1405, 0.2500)  3 O 1.69-1.74
Se (0.6806, 0.8595, 0.7500)  3 O 1.69-1.74
O (0.4037, 0.0286, 0.7500)  1 Se 1.69
O (0.5963, 0.9714, 0.2500)  1 Se 1.69
O (0.4504, 0.3215, 0.4294)  1 Se 1.74
O (0.5496, 0.6785, 0.9294)  1 Se 1.74
O (0.5496, 0.6785, 0.5706)  1 Se 1.74
O (0.4504, 0.3215, 0.0706)  1 Se 1.74
F (0.9607, 0.3625, 0.7500)  2 Lu 2.11-2.13
F (0.0393, 0.6375, 0.2500)  2 Lu 2.11-2.13



5.
A crystal of Rb3LuF6 relaxed with PBEsol, computed with SCAN.

Summary:
Symmetry: Fm-3m
E in eV per atom: -17.402

a b c (Å): 6.6324 6.6324 6.6324
angles (deg): 60.00 60.00 60.00
Last column: nearest neighbours and their distance in Å.
Sites, in units of the cell vectors:
Lu (0.0000, 0.0000, 0.0000)  6 F 2.09
Rb (0.7500, 0.7500, 0.7500)  12 F 3.33
Rb (0.2500, 0.2500, 0.2500)  12 F 3.33
Rb (0.5000, 0.5000, 0.5000)  6 F 2.60
F (0.2228, 0.7772, 0.2228)  1 Lu 2.09
F (0.2228, 0.2228, 0.7772)  1 Lu 2.09
F (0.7772, 0.7772, 0.2228)  1 Lu 2.09
F (0.2228, 0.7772, 0.7772)  1 Lu 2.09
F (0.7772, 0.2228, 0.7772)  1 Lu 2.09
F (0.7772, 0.2228, 0.2228)  1 Lu 2.09



6.
A crystal of LuSF relaxed with PBEsol, computed with SCAN.

Summary:
Symmetry: R-3m
E in eV per atom: -26.111

a b c (Å): 3.8472 3.8472 8.5288
angles (deg): 76.97 76.97 60.00
Last column: nearest neighbours and their distance in Å.
Sites, in units of the cell vectors:
S (0.3916, 0.3916, 0.8253)  4 Lu 2.65-2.68
S (0.6084, 0.6084, 0.1747)  4 Lu 2.65-2.68
Lu (0.0000, 0.0000, 0.0000)  6 S 2.65
Lu (0.5000, 0.5000, 0.5000)  6 F 2.25
F (0.1820, 0.1820, 0.4541)  3 Lu 2.25, 3 F 2.35
F (0.8180, 0.8180, 0.5459)  3 Lu 2.25, 3 F 2.35



7.
A crystal of LuSnF7 relaxed with PBEsol, computed with SCAN.

Summary:
Symmetry: P2_1/c
E in eV per atom: -16.332

a b c (Å): 5.4893 8.6954 10.9283
angles (deg): 107.56 90.00 90.00
Last column: nearest neighbours and their distance in Å.
Sites, in units of the cell vectors:
Lu (0.2574, 0.9195, 0.7341)  8 F 2.11-2.27
Lu (0.7426, 0.0805, 0.2659)  8 F 2.11-2.27
Lu (0.7574, 0.5805, 0.7659)  8 F 2.11-2.27
Lu (0.2426, 0.4195, 0.2341)  8 F 2.11-2.27
Sn (0.7572, 0.2281, 0.9570)  6 F 1.97-1.99
Sn (0.2428, 0.7719, 0.0430)  6 F 1.97-1.99
Sn (0.2572, 0.2719, 0.5430)  6 F 1.97-1.99
Sn (0.7428, 0.7281, 0.4570)  6 F 1.97-1.99
F (0.9580, 0.8768, 0.5837)  1 Sn 1.98
F (0.0420, 0.1232, 0.4163)  1 Sn 1.98
F (0.4580, 0.6232, 0.9163)  1 Sn 1.98
F (0.5420, 0.3768, 0.0837)  1 Sn 1.98
F (0.4752, 0.1232, 0.8517)  1 Sn 1.98, 1 Lu 2.20
F (0.5248, 0.8768, 0.1483)  1 Sn 1.98, 1 Lu 2.20
F (0.9752, 0.3768, 0.6483)  1 Sn 1.98, 1 Lu 2.20
F (0.0248, 0.6232, 0.3517)  1 Sn 1.98, 1 Lu 2.20
F (0.9613, 0.0774, 0.8230)  1 Sn 1.99, 1 Lu 2.16
F (0.0387, 0.9226, 0.1770)  1 Sn 1.99, 1 Lu 2.16
F (0.4613, 0.4226, 0.6770)  1 Sn 1.99, 1 Lu 2.16
F (0.5387, 0.5774, 0.3230)  1 Sn 1.99, 1 Lu 2.16
F (0.7751, 0.3841, 0.8586)  1 Sn 1.97
F (0.2249, 0.6159, 0.1414)  1 Sn 1.97
F (0.2751, 0.1159, 0.6414)  1 Sn 1.97
F (0.7249, 0.8841, 0.3586)  1 Sn 1.97
F (0.9385, 0.6760, 0.9526)  1 Sn 1.99, 1 Lu 2.20
F (0.0615, 0.3240, 0.0474)  1 Sn 1.99, 1 Lu 2.20
F (0.4385, 0.8240, 0.5474)  1 Sn 1.99, 1 Lu 2.20
F (0.5615, 0.1760, 0.4526)  1 Sn 1.99, 1 Lu 2.20
F (0.7424, 0.5722, 0.5560)  1 Sn 1.97
F (0.2576, 0.4278, 0.4440)  1 Sn 1.97
F (0.2424, 0.9278, 0.9440)  1 Sn 1.97
F (0.7576, 0.0722, 0.0560)  1 Sn 1.97
F (0.5744, 0.7931, 0.7652)  2 Lu 2.11-2.14
F (0.4256, 0.2069, 0.2348)  2 Lu 2.11-2.14
F (0.0744, 0.7069, 0.7348)  2 Lu 2.11-2.14
F (0.9256, 0.2931, 0.2652)  2 Lu 2.11-2.14



8.
A crystal of LuZr3F15 relaxed with PBEsol, computed with SCAN.

Summary:
Symmetry: C2/c
E in eV per atom: -14.658

a b c (Å): 8.0048 8.0048 8.0006
angles (deg): 100.22 100.22 100.12
Last column: nearest neighbours and their distance in Å.
Sites, in units of the cell vectors:
Lu (0.3225, 0.6775, 0.7500)  8 F 2.16-2.24
Lu (0.6775, 0.3225, 0.2500)  8 F 2.16-2.24
Zr (0.7486, 0.2514, 0.7500)  6 F 1.99-2.02
Zr (0.2514, 0.7486, 0.2500)  6 F 1.99-2.02
Zr (0.1779, 0.2501, 0.3260)  8 F 2.04-2.23
Zr (0.7499, 0.8221, 0.1740)  8 F 2.04-2.23
Zr (0.8221, 0.7499, 0.6740)  8 F 2.04-2.23
Zr (0.2501, 0.1779, 0.8260)  8 F 2.04-2.23
F (0.8509, 0.8189, 0.9470)  2 Zr 2.11-2.12
F (0.3158, 0.4401, 0.8492)  1 Zr 2.04, 1 Lu 2.18
F (0.9565, 0.3454, 0.3188)  1 Zr 2.04, 1 Lu 2.17
F (0.3454, 0.9565, 0.8188)  1 Zr 2.04, 1 Lu 2.17
F (0.4401, 0.3158, 0.3492)  1 Zr 2.04, 1 Lu 2.18
F (0.8189, 0.8509, 0.4470)  2 Zr 2.11-2.12
F (0.1491, 0.1811, 0.0530)  2 Zr 2.11-2.12
F (0.6842, 0.5599, 0.1508)  1 Zr 2.04, 1 Lu 2.18
F (0.0435, 0.6546, 0.6812)  1 Zr 2.04, 1 Lu 2.17
F (0.6546, 0.0435, 0.1812)  1 Zr 2.04, 1 Lu 2.17
F (0.5599, 0.6842, 0.6508)  1 Zr 2.04, 1 Lu 2.18
F (0.1811, 0.1491, 0.5530)  2 Zr 2.11-2.12
F (0.0335, 0.9665, 0.7500)  2 Zr 2.11
F (0.4580, 0.2483, 0.0319)  1 Zr 2.04, 1 Lu 2.16
F (0.7517, 0.5420, 0.4681)  1 Zr 2.04, 1 Lu 2.16
F (0.5420, 0.7517, 0.9681)  1 Zr 2.04, 1 Lu 2.16
F (0.2483, 0.4580, 0.5319)  1 Zr 2.04, 1 Lu 2.16
F (0.9665, 0.0335, 0.2500)  2 Zr 2.11
F (0.7796, 0.2764, 0.0066)  1 Zr 1.99
F (0.7774, 0.5107, 0.7814)  2 Zr 2.01-2.23
F (0.0087, 0.2780, 0.7782)  2 Zr 2.02-2.22
F (0.2780, 0.0087, 0.2782)  2 Zr 2.02-2.22
F (0.5107, 0.7774, 0.2814)  2 Zr 2.01-2.23
F (0.2764, 0.7796, 0.5066)  1 Zr 1.99
F (0.2204, 0.7236, 0.9934)  1 Zr 1.99
F (0.2226, 0.4893, 0.2186)  2 Zr 2.01-2.23
F (0.9913, 0.7220, 0.2218)  2 Zr 2.02-2.22
F (0.7220, 0.9913, 0.7218)  2 Zr 2.02-2.22
F (0.4893, 0.2226, 0.7186)  2 Zr 2.01-2.23
F (0.7236, 0.2204, 0.4934)  1 Zr 1.99



9.
A crystal of MgMnF5 relaxed with PBEsol, computed with SCAN.

Summary:
Symmetry: P-1
E in eV per atom: -9.052

a b c (Å): 5.0951 5.3601 7.2838
angles (deg): 106.31 96.92 109.39
Last column: nearest neighbours and their distance in Å.
Sites, in units of the cell vectors:
Mg (0.4679, 0.2551, 0.7791)  6 F 1.95-2.17
Mg (0.5321, 0.7449, 0.2209)  6 F 1.95-2.17
Mn (0.0000, 0.0000, 0.0000)  4 F 1.83-1.88
Mn (0.0000, 0.5000, 0.5000)  4 F 1.82-1.86
F (0.8646, 0.0992, 0.2657)  1 Mg 1.99, 2 Mn 2.12-2.16
F (0.1354, 0.9008, 0.7343)  1 Mg 1.99, 2 Mn 2.12-2.16
F (0.7966, 0.6081, 0.3368)  1 Mn 1.82, 1 Mg 1.95
F (0.2578, 0.8821, 0.1095)  1 Mn 1.83, 1 Mg 1.97
F (0.2998, 0.3440, 0.0386)  1 Mn 1.88, 1 Mg 2.03
F (0.3268, 0.6833, 0.4258)  1 Mn 1.86, 1 Mg 1.96
F (0.7002, 0.6560, 0.9614)  1 Mn 1.88, 1 Mg 2.03
F (0.6732, 0.3167, 0.5742)  1 Mn 1.86, 1 Mg 1.96
F (0.7422, 0.1179, 0.8905)  1 Mn 1.83, 1 Mg 1.97
F (0.2034, 0.3919, 0.6632)  1 Mn 1.82, 1 Mg 1.95



10.
A crystal of MgMoF2 relaxed with PBEsol, computed with SCAN.

Summary:
Energy relative to the lowest polymorph listed for this composition in meV per atom: 1263
Symmetry: Fm-3m

a b c (Å): 4.3088 4.3088 4.3088
angles (deg): 60.00 60.00 60.00
Last column: nearest neighbours and their distance in Å.
Sites, in units of the cell vectors:
Mo (0.5000, 0.5000, 0.5000)  8 F 2.64
Mg (0.0000, 0.0000, 0.0000)  8 F 2.64
F (0.2500, 0.2500, 0.2500)  4 Mg 2.64, 4 Mo 2.64
F (0.7500, 0.7500, 0.7500)  4 Mo 2.64, 4 Mg 2.64



11.
A crystal of MgMoF2 relaxed with PBEsol, computed with SCAN.

Summary:
Energy relative to the lowest polymorph listed for this composition in meV per atom: 0
Symmetry: R-3m

a b c (Å): 2.7820 2.7820 9.3522
angles (deg): 81.45 81.45 60.00
Last column: nearest neighbours and their distance in Å.
Sites, in units of the cell vectors:
Mo (0.0000, 0.0000, 0.0000)  6 Mo 2.78
Mg (0.5000, 0.5000, 0.5000)  6 F 1.92
F (0.8714, 0.8714, 0.3858)  3 Mg 1.92
F (0.1286, 0.1286, 0.6142)  3 Mg 1.92



12.
A crystal of MgMoSeF2 relaxed with PBEsol, computed with SCAN.

Summary:
Symmetry: P4/mmm
E in eV per atom: -15.188

a b c (Å): 3.7553 3.7553 5.9156
angles (deg): 90.00 90.00 90.00
Last column: nearest neighbours and their distance in Å.
Sites, in units of the cell vectors:
Mo (0.5000, 0.5000, 0.5000)  4 Se 2.66
Mg (0.0000, 0.0000, 0.0000)  4 F 1.88
Se (0.0000, 0.0000, 0.5000)  4 Mo 2.66, 2 Mg 2.96
F (0.0000, 0.5000, 0.0000)  2 Mg 1.88
F (0.5000, 0.0000, 0.0000)  2 Mg 1.88